Nb3ReSi | PBE | optimized geometry

Results
The value obtained for the energy relative to the elements, uncorrected is 0.9546 eV/atom. Its space-group type is Pm-3m.

Unit cell a=4.5825 b=4.5825 c=4.5825 alpha=90.00 beta=90.00 gamma=90.00
Last column: nearest neighbours and their distance in Å.
Fractional coordinates of all 5 atoms:
Nb 0.0000 0.5000 0.0000  2 Si 2.29
Nb 0.0000 0.0000 0.5000  2 Si 2.29
Nb 0.5000 0.0000 0.0000  2 Si 2.29
Re 0.5000 0.5000 0.5000  12 Nb 3.24
Si 0.0000 0.0000 0.0000  6 Nb 2.29